(1)
ZnGe2PdO6 | PBE | relaxed

```
ZnGe2PdO6
1.0
-0.118 4.933 -2.252
0.237 -1.396 -6.783
-6.769 1.059 -1.040
Zn Ge Pd O
2 4 2 12
direct
0.250 0.906 0.094
0.750 0.094 0.906
0.238 0.790 0.613
0.262 0.387 0.210
0.762 0.210 0.387
0.738 0.613 0.790
0.250 0.272 0.728
0.750 0.728 0.272
0.130 0.966 0.801
0.370 0.199 0.034
0.870 0.034 0.199
0.630 0.801 0.966
0.379 0.870 0.374
0.121 0.626 0.130
0.621 0.130 0.626
0.879 0.374 0.870
0.966 0.694 0.585
0.534 0.415 0.306
0.034 0.306 0.415
0.466 0.585 0.694
```

Results
**Crystal system**: monoclinic
**Energy relative to the elements, uncorrected**: -1.215 eV per atom



(2)
LiScFeSn | PBE | relaxed

```
LiScFeSn
1.0
4.532 0.000 0.000
2.266 3.925 0.000
2.266 1.308 3.700
Sc Li Sn Fe
1 1 1 1
direct
0.750 0.750 0.750
0.500 0.500 0.500
0.250 0.250 0.250
0.000 0.000 0.000
```

Results
**Formation enthalpy at 0 K**: -0.262 eV per atom
**Crystal system**: cubic



(3)
HfTi2Tl | PBE | relaxed

```
HfTi2Tl
1.0
3.133 0.000 0.000
1.566 2.713 0.000
1.567 0.905 9.674
Hf Ti Tl
1 2 1
direct
0.667 0.667 0.999
0.081 0.081 0.756
0.252 0.252 0.244
0.500 0.500 0.500
```

Results
**Formation enthalpy at 0 K**: 0.111 eV per atom
**Excess energy over the best structure of this formula in the dataset**: 28.4 kJ/mol of formula units
**Crystal system**: trigonal



(4)
NaSr2Cd2 | PBE | relaxed

```
NaSr2Cd2
1.0
-0.193 3.531 2.608
-1.277 -2.542 3.348
8.905 -0.908 5.589
Sr Na Cd
2 1 2
direct
0.383 0.383 0.233
0.617 0.617 0.767
0.000 0.000 0.000
0.750 0.250 0.500
0.250 0.750 0.500
```

Results
**Formation enthalpy at 0 K**: -0.058 eV per atom
**Excess energy over the best structure of this formula in the dataset**: 83.8 kJ/mol of formula units
**Crystal system**: tetragonal



Values for size of the total moment, μB per atom, ordered as above
0.00; 0.44; 0.00; 0.00